The following is a DFT calculation (SCAN) of SbMo3Ir at its PBEsol-relaxed geometry.

The space group is Pm-3m (No. 221) and the conventional cell measures 4.7215, 4.7215 and 4.7215 Å, with angles of 90.00, 90.00 and 90.00 degrees. Symmetry generates all atoms from Sb at (0.0000, 0.0000, 0.0000), Mo at (0.0000, 0.0000, 0.5000) and Ir at (0.5000, 0.5000, 0.5000).

The calculation puts the total energy at -200.336 eV/cell. The size of the total moment is 0.000 μB/atom.